# 1
The following is a PBE calculation of a relaxed structure of GeBi3Pb, from Alexandria via LeMat-Bulk.

- Offset from the most stable computed form: 12.95 kcal/mol of atoms
- Formation enthalpy at 0 K: 1034 meV per atom
- V: 40.9 Å³/atom
- Density of states at the Fermi level: 8.04 states/eV per cell

Lattice parameters (Å, degrees): 5.891 5.891 5.891 90.00 90.00 90.00
Positions (direct):
1 Ge 0.000 0.000 0.000
2 Bi 0.000 0.500 0.500
3 Bi 0.500 0.000 0.500
4 Bi 0.500 0.500 0.000
5 Pb 0.500 0.500 0.500

---

# 2
The following is a PBE calculation of a relaxed structure of GeBiPb2, from Alexandria via LeMat-Bulk.

- Offset from the most stable computed form: 0.67 kcal/mol of atoms
- Formation enthalpy at 0 K: 176 meV per atom
- V: 28.5 Å³/atom
- Density of states at the Fermi level: 3.61 states/eV per cell

Lattice parameters (Å, degrees): 7.699 7.699 7.699 90.00 90.00 90.00
Positions (direct):
1 Ge 0.000 0.000 0.000
2 Ge 0.000 0.500 0.500
3 Ge 0.500 0.000 0.500
4 Ge 0.500 0.500 0.000
5 Bi 0.000 0.000 0.500
6 Bi 0.000 0.500 0.000
7 Bi 0.500 0.000 0.000
8 Bi 0.500 0.500 0.500
9 Pb 0.250 0.250 0.250
10 Pb 0.250 0.250 0.750
11 Pb 0.250 0.750 0.250
12 Pb 0.250 0.750 0.750
13 Pb 0.750 0.250 0.250
14 Pb 0.750 0.250 0.750
15 Pb 0.750 0.750 0.250
16 Pb 0.750 0.750 0.750

---

# 3
The following is a PBE calculation of a relaxed structure of GeBiPb2, from Alexandria via LeMat-Bulk.

- Offset from the most stable computed form: 0.43 kcal/mol of atoms
- Formation enthalpy at 0 K: 165 meV per atom
- V: 29.2 Å³/atom
- Density of states at the Fermi level: 2.50 states/eV per cell

Lattice parameters (Å, degrees): 4.836 4.836 4.989 90.00 90.00 90.00
Positions (direct):
1 Ge 0.000 0.000 0.000
2 Bi 0.500 0.500 0.000
3 Pb 0.000 0.500 0.500
4 Pb 0.500 0.000 0.500

---

# 4
The following is a PBE calculation of a relaxed structure of GeBiPb2, from Alexandria via LeMat-Bulk.

- Offset from the most stable computed form: 2.70 kcal/mol of atoms
- Formation enthalpy at 0 K: 264 meV per atom
- V: 39.9 Å³/atom
- Density of states at the Fermi level: 8.56 states/eV per cell

Lattice parameters (Å, degrees): 6.823 6.823 13.700 90.00 90.00 90.00
Positions (direct):
1 Ge 0.000 0.000 0.000
2 Ge 0.000 0.500 0.250
3 Ge 0.500 0.000 0.750
4 Ge 0.500 0.500 0.500
5 Bi 0.000 0.000 0.500
6 Bi 0.000 0.500 0.750
7 Bi 0.500 0.000 0.250
8 Bi 0.500 0.500 0.000
9 Pb 0.216 0.250 0.125
10 Pb 0.250 0.716 0.375
11 Pb 0.250 0.784 0.875
12 Pb 0.284 0.250 0.625
13 Pb 0.716 0.750 0.625
14 Pb 0.750 0.216 0.875
15 Pb 0.750 0.284 0.375
16 Pb 0.784 0.750 0.125